# CePa2Sb | the Alexandria database | PBE-GGA | optimized geometry
# energy above the most stable polymorph in this dataset: 373 meV/atom
data_CePa2Sb
_chemical_formula_sum 'Ce4 Pa8 Sb4'
_cell_length_a 7.404
_cell_length_b 7.404
_cell_length_c 7.404
_cell_angle_alpha 90.00
_cell_angle_beta 90.00
_cell_angle_gamma 90.00
_space_group_name_H-M_alt 'F m -3 m'
_space_group_IT_number 225
_space_group_name_Hall '-F 4 2 3'
loop_
_atom_site_label
_atom_site_type_symbol
_atom_site_fract_x
_atom_site_fract_y
_atom_site_fract_z
Ce1 Ce 0.000 0.000 0.000
Pa1 Pa 0.250 0.250 0.250
Sb1 Sb 0.000 0.000 0.500

***

# CePaSb2 | the Alexandria database | PBE-GGA | optimized geometry
# energy above the most stable polymorph in this dataset: 111 meV/atom
data_CePaSb2
_chemical_formula_sum 'Ce4 Pa4 Sb8'
_cell_length_a 7.580
_cell_length_b 7.580
_cell_length_c 7.580
_cell_angle_alpha 90.00
_cell_angle_beta 90.00
_cell_angle_gamma 90.00
_space_group_name_H-M_alt 'F m -3 m'
_space_group_IT_number 225
_space_group_name_Hall '-F 4 2 3'
loop_
_atom_site_label
_atom_site_type_symbol
_atom_site_fract_x
_atom_site_fract_y
_atom_site_fract_z
Ce1 Ce 0.000 0.000 0.000
Pa1 Pa 0.000 0.000 0.500
Sb1 Sb 0.250 0.250 0.250

***

# Ce6PaSb10 | the Alexandria database | PBE-GGA | optimized geometry
# total energy: -100.8 eV/cell
data_Ce6PaSb10
_chemical_formula_sum 'Ce6 Pa1 Sb10'
_cell_length_a 9.4763
_cell_length_b 9.4763
_cell_length_c 6.2651
_cell_angle_alpha 90.00
_cell_angle_beta 90.00
_cell_angle_gamma 120.00
_space_group_name_H-M_alt 'P -3 1 m'
_space_group_IT_number 162
_space_group_name_Hall '-P 3 2'
loop_
_atom_site_label
_atom_site_type_symbol
_atom_site_fract_x
_atom_site_fract_y
_atom_site_fract_z
Ce1 Ce 0.0000 0.3851 0.2489
Pa1 Pa 0.0000 0.0000 0.5000
Sb1 Sb 0.0000 0.2681 0.7590
Sb2 Sb 0.3333 0.6667 0.0000
Sb3 Sb 0.3333 0.6667 0.5000

***

# CePa2Sb | the Alexandria database | PBE-GGA | optimized geometry
# energy above the most stable polymorph in this dataset: 0 meV/atom
data_CePa2Sb
_chemical_formula_sum 'Ce1 Pa2 Sb1'
_cell_length_a 4.565
_cell_length_b 4.565
_cell_length_c 4.799
_cell_angle_alpha 90.00
_cell_angle_beta 90.00
_cell_angle_gamma 90.00
_space_group_name_H-M_alt 'P 4/m m m'
_space_group_IT_number 123
_space_group_name_Hall '-P 4 2'
loop_
_atom_site_label
_atom_site_type_symbol
_atom_site_fract_x
_atom_site_fract_y
_atom_site_fract_z
Ce1 Ce 0.000 0.000 0.000
Pa1 Pa 0.000 0.500 0.500
Sb1 Sb 0.500 0.500 0.000

***

# CePaSb2 | the Alexandria database | PBE-GGA | optimized geometry
# energy above the most stable polymorph in this dataset: 114 meV/atom
data_CePaSb2
_chemical_formula_sum 'Ce2 Pa2 Sb4'
_cell_length_a 4.350
_cell_length_b 4.350
_cell_length_c 11.814
_cell_angle_alpha 90.00
_cell_angle_beta 90.00
_cell_angle_gamma 90.00
_space_group_name_H-M_alt 'P 4/n m m'
_space_group_IT_number 129
loop_
_space_group_symop_operation_xyz
'x,y,z'
'-x,-y,-z'
'-y+1/2,x,z'
'y+1/2,-x,-z'
'-x+1/2,-y+1/2,z'
'x+1/2,y+1/2,-z'
'y,-x+1/2,z'
'-y,x+1/2,-z'
'x+1/2,-y,-z'
'-x+1/2,y,z'
'-y,-x,-z'
'y,x,z'
'-x,y+1/2,-z'
'x,-y+1/2,z'
'y+1/2,x+1/2,-z'
'-y+1/2,-x+1/2,z'
loop_
_atom_site_label
_atom_site_type_symbol
_atom_site_fract_x
_atom_site_fract_y
_atom_site_fract_z
Ce1 Ce 0.250 0.250 0.211
Pa1 Pa 0.250 0.750 0.500
Sb1 Sb 0.250 0.250 0.703
Sb2 Sb 0.250 0.750 0.000

***

# Ce2PaSb4 | the Alexandria database | PBE-GGA | optimized geometry
# energy above the most stable polymorph in this dataset: 0 meV/atom
data_Ce2PaSb4
_chemical_formula_sum 'Ce8 Pa4 Sb16'
_cell_length_a 9.275
_cell_length_b 9.275
_cell_length_c 9.303
_cell_angle_alpha 90.00
_cell_angle_beta 90.00
_cell_angle_gamma 90.00
_space_group_name_H-M_alt 'I -4 2 d'
_space_group_IT_number 122
_space_group_name_Hall 'I -4 2bw'
loop_
_atom_site_label
_atom_site_type_symbol
_atom_site_fract_x
_atom_site_fract_y
_atom_site_fract_z
Ce1 Ce 0.121 0.250 0.125
Pa1 Pa 0.000 0.000 0.500
Sb1 Sb 0.078 0.174 0.791

***

# Ce5PaSb6 | the Alexandria database | PBE-GGA | optimized geometry
# total energy: -150.3 eV/cell
data_Ce5PaSb6
_chemical_formula_sum 'Ce10 Pa2 Sb12'
_cell_length_a 7.737
_cell_length_b 13.408
_cell_length_c 7.779
_cell_angle_alpha 90.00
_cell_angle_beta 109.38
_cell_angle_gamma 90.00
_space_group_name_H-M_alt 'C 1 2/m 1'
_space_group_IT_number 12
_space_group_name_Hall '-C 2y'
loop_
_atom_site_label
_atom_site_type_symbol
_atom_site_fract_x
_atom_site_fract_y
_atom_site_fract_z
Ce1 Ce 0.000 0.000 0.000
Ce2 Ce 0.000 0.166 0.500
Ce3 Ce 0.000 0.331 0.000
Pa1 Pa 0.000 0.500 0.500
Sb1 Sb 0.244 0.500 0.252
Sb2 Sb 0.245 0.336 0.746

***

# CePa2Sb | the Alexandria database | PBE-GGA | optimized geometry
# energy above the most stable polymorph in this dataset: 211 meV/atom
data_CePa2Sb
_chemical_formula_sum 'Ce1 Pa2 Sb1'
_cell_length_a 4.078
_cell_length_b 4.078
_cell_length_c 6.540
_cell_angle_alpha 90.00
_cell_angle_beta 90.00
_cell_angle_gamma 90.00
_space_group_name_H-M_alt 'P 4/m m m'
_space_group_IT_number 123
_space_group_name_Hall '-P 4 2'
loop_
_atom_site_label
_atom_site_type_symbol
_atom_site_fract_x
_atom_site_fract_y
_atom_site_fract_z
Ce1 Ce 0.000 0.000 0.000
Pa1 Pa 0.500 0.500 0.291
Sb1 Sb 0.000 0.000 0.500

***

# Ce5Pa3Sb8 | the Alexandria database | PBE-GGA | optimized geometry
# total energy: -312.2 eV/cell
data_Ce5Pa3Sb8
_chemical_formula_sum 'Ce15 Pa9 Sb24'
_cell_length_a 8.8690
_cell_length_b 8.8690
_cell_length_c 21.8673
_cell_angle_alpha 90.00
_cell_angle_beta 90.00
_cell_angle_gamma 120.00
_space_group_name_H-M_alt 'R -3 m'
_space_group_IT_number 166
_space_group_name_Hall '-R 3 2"'
loop_
_atom_site_label
_atom_site_type_symbol
_atom_site_fract_x
_atom_site_fract_y
_atom_site_fract_z
Ce1 Ce 0.0000 0.0000 0.0000
Ce2 Ce 0.0000 0.0000 0.5000
Ce3 Ce 0.0000 0.5000 0.0000
Pa1 Pa 0.0000 0.5000 0.5000
Sb1 Sb 0.0000 0.0000 0.2473
Sb2 Sb 0.0039 0.5019 0.7520

***

# Ce2PaSb3 | the Alexandria database | PBE-GGA | optimized geometry
# energy above the most stable polymorph in this dataset: 0 meV/atom
data_Ce2PaSb3
_chemical_formula_sum 'Ce4 Pa2 Sb6'
_cell_length_a 4.456
_cell_length_b 6.290
_cell_length_c 13.370
_cell_angle_alpha 90.00
_cell_angle_beta 90.00
_cell_angle_gamma 90.00
_space_group_name_H-M_alt 'I m m m'
_space_group_IT_number 71
_space_group_name_Hall '-I 2 2'
loop_
_atom_site_label
_atom_site_type_symbol
_atom_site_fract_x
_atom_site_fract_y
_atom_site_fract_z
Ce1 Ce 0.000 0.000 0.168
Pa1 Pa 0.000 0.000 0.500
Sb1 Sb 0.000 0.500 0.162
Sb2 Sb 0.000 0.500 0.500